The following is a DFT calculation (PBE-GGA) of a relaxed structure of HoTeAu.

Cell lengths 5.0371, 4.3465, 4.3465 Å; angles 120.00, 90.00, 90.00 degrees
Atoms (fractional coordinates):
Te 0.6535 0.3333 0.6667
Au 0.3185 0.6667 0.3333
Ho 0.0280 0.0000 0.0000

Crystal system: trigonal
Total energy: -4.56 eV per atom